(1)
Entry from OQMD: crystalline TbZnO3 at its relaxed geometry (PBE).

Unit cell a=5.482 b=5.482 c=5.755 alpha=61.56 beta=61.56 gamma=60.00
Each line ends with the local moment (μB).
Fractional positions:
O 0.445 0.785 0.742  0.25
O 0.215 0.972 0.258  0.25
Tb 0.367 0.367 0.899  0.01
O 0.972 0.555 0.258  0.26
Tb 0.633 0.633 0.101  0.01
O 0.555 0.215 0.258  0.25
Zn 0.850 0.850 0.449  0.11
O 0.785 0.028 0.742  0.25
O 0.028 0.445 0.742  0.26
Zn 0.150 0.150 0.551  0.11

For the total energy, the calculation gives -6.199 eV/atom. The calculation puts the total magnetic moment at 0.199 μB per atom.



(2)
Entry from OQMD: crystalline KNbTeO at its relaxed geometry (PBE).

Unit cell a=3.739 b=8.229 c=6.333 alpha=90.00 beta=90.00 gamma=90.00
Fractional positions:
Nb 0.500 0.979 0.951
O 0.500 0.151 0.174
K 0.000 0.362 0.182
K 0.000 0.638 0.682
Nb 0.500 0.021 0.451
O 0.500 0.849 0.674
Te 0.000 0.796 0.183
Te 0.000 0.204 0.683

For the total energy, the calculation gives -6.015 eV/atom. The calculation puts the total magnetic moment at 0.053 μB per atom.



(3)
Entry from OQMD: crystalline HoAuSO at its relaxed geometry (PBE).

Unit cell a=5.570 b=9.084 c=5.588 alpha=90.00 beta=90.00 gamma=90.00
Fractional positions:
S 0.500 0.282 0.750
O 0.250 0.000 0.500
Ho 0.000 0.880 0.250
O 0.250 0.000 0.000
O 0.750 0.000 0.000
Ho 0.000 0.120 0.750
Au 0.250 0.500 0.750
S 0.000 0.282 0.250
Au 0.250 0.500 0.250
Au 0.750 0.500 0.750
O 0.750 0.000 0.500
S 0.500 0.718 0.250
Au 0.750 0.500 0.250
Ho 0.500 0.880 0.750
S 0.000 0.718 0.750
Ho 0.500 0.120 0.250

For the total energy, the calculation gives -6.161 eV/atom. The calculation puts the total magnetic moment at 0.000 μB per atom.



(4)
Entry from OQMD: crystalline Mg2MoPt at its relaxed geometry (PBE).

Unit cell a=4.558 b=4.558 c=4.558 alpha=60.00 beta=60.00 gamma=60.00
Each line ends with the local moment (μB).
Fractional positions:
Mo 0.750 0.750 0.750  1.55
Mg 0.500 0.500 0.500  0.02
Mg 0.250 0.250 0.250  -0.01
Pt 0.000 0.000 0.000  0.22

For the total energy, the calculation gives -5.021 eV/atom. The calculation puts the total magnetic moment at 0.497 μB per atom.



(5)
Entry from OQMD: crystalline SrNdO3 at its relaxed geometry (PBE).

Unit cell a=6.174 b=6.174 c=6.174 alpha=60.91 beta=60.91 gamma=60.91
Fractional positions:
O 0.860 0.250 0.640
O 0.360 0.140 0.750
Sr 0.750 0.750 0.750
O 0.250 0.640 0.860
Sr 0.250 0.250 0.250
O 0.640 0.860 0.250
O 0.750 0.360 0.140
Nd 0.500 0.500 0.500
Nd 0.000 0.000 0.000
O 0.140 0.750 0.360

For the total energy, the calculation gives -6.827 eV/atom. The calculation puts the total magnetic moment at 0.200 μB per atom.



Question: Among the records above, which one has the lowest total magnetic moment?
Answer: HoAuSO



Question: Among the records above, which one has the lowest total magnetic moment?
Answer: HoAuSO



Question: What is the total magnetic moment in the fourth record?
Answer: 0.497 μB per atom